# K2ZnIr

Crystalline K2ZnIr at its relaxed geometry (PBE, the Alexandria database).

Values from the calculation:
DFT formation energy: 18.86 kcal/mol of atoms
Density: 6039 kg/m³
Final energy: -0.08322 hartree per atom
DOS at the Fermi energy: 6.0 states/eV/cell

Lattice parameters (Å, degrees): 11.577 11.577 11.577 159.81 159.81 28.70
Fractional coordinates of all 8 atoms:
K: 0.124 0.625 0.999
K: 0.375 0.374 0.499
K: 0.626 0.125 0.001
K: 0.875 0.876 0.501
Zn: 0.250 0.750 0.500
Zn: 0.500 0.500 0.000
Ir: 0.000 0.000 0.000
Ir: 0.750 0.250 0.500

***

# Tm5MgFe2

Crystalline Tm5MgFe2 at its relaxed geometry (PBE, the Alexandria database).

Values from the calculation:
DFT formation energy: -0.02 kcal/mol of atoms
Density: 8369 kg/m³
Final energy: -0.18781 hartree per atom
DOS at the Fermi energy: 18.2 states/eV/cell

Lattice parameters (Å, degrees): 8.625 8.625 8.625 127.77 127.77 76.99
Fractional coordinates of all 16 atoms:
Tm: 0.000 0.000 0.000
Tm: 0.032 0.532 0.830
Tm: 0.202 0.032 0.500
Tm: 0.298 0.798 0.830
Tm: 0.468 0.298 0.500
Tm: 0.500 0.500 0.000
Tm: 0.532 0.702 0.500
Tm: 0.702 0.202 0.170
Tm: 0.798 0.968 0.500
Tm: 0.968 0.468 0.170
Mg: 0.250 0.250 0.000
Mg: 0.750 0.750 0.000
Fe: 0.115 0.385 0.500
Fe: 0.385 0.885 0.271
Fe: 0.615 0.115 0.729
Fe: 0.885 0.615 0.500

***

Copy entry 1 word for word.
# K2ZnIr

Crystalline K2ZnIr at its relaxed geometry (PBE, the Alexandria database).

Values from the calculation:
DFT formation energy: 18.86 kcal/mol of atoms
Density: 6039 kg/m³
Final energy: -0.08322 hartree per atom
DOS at the Fermi energy: 6.0 states/eV/cell

Lattice parameters (Å, degrees): 11.577 11.577 11.577 159.81 159.81 28.70
Fractional coordinates of all 8 atoms:
K: 0.124 0.625 0.999
K: 0.375 0.374 0.499
K: 0.626 0.125 0.001
K: 0.875 0.876 0.501
Zn: 0.250 0.750 0.500
Zn: 0.500 0.500 0.000
Ir: 0.000 0.000 0.000
Ir: 0.750 0.250 0.500